Density functional theory data (PBE-GGA) for crystalline Co2Re2Ru at its relaxed geometry.

Geometry as CIF:
```
data_Co2Re2Ru
_chemical_formula_sum 'Co4 Re4 Ru2'
_cell_length_a 3.785
_cell_length_b 3.785
_cell_length_c 9.957
_cell_angle_alpha 90.00
_cell_angle_beta 90.00
_cell_angle_gamma 90.00
_symmetry_space_group_name_H-M 'I 4/m m m'
_symmetry_Int_Tables_number 139
_symmetry_space_group_name_Hall '-I 4 2'
loop_
_atom_site_label
_atom_site_fract_x
_atom_site_fract_y
_atom_site_fract_z
Co1 0.000 0.000 0.103
Re1 0.000 0.500 0.250
Ru1 0.000 0.000 0.500
```

Results
E_form: 285 kJ/mol of formula units
offset from the most stable computed form: 0.434 eV per atom